(1)
A relaxed structure of NaCdIn2Se4. Source: Alexandria via LeMat-Bulk, functional PBE.

Cell and atoms, written as extended XYZ:
```
16
Lattice="6.422 0.000 0.000 0.000 6.422 0.000 0.000 0.000 12.378" Properties=species:S:1:pos:R:3 pbc="T T T"
Na 0.000 0.000 0.000
Na 3.211 3.211 6.189
Cd 0.000 0.000 6.189
Cd 3.211 3.211 0.000
In 0.000 3.211 3.094
In 0.000 3.211 9.283
In 3.211 0.000 3.094
In 3.211 0.000 9.283
Se 1.535 1.535 7.794
Se 1.535 4.886 4.583
Se 1.676 1.676 1.605
Se 1.676 4.746 10.772
Se 4.746 1.676 10.772
Se 4.746 4.746 1.605
Se 4.886 1.535 4.583
Se 4.886 4.886 7.794
```

Calculated values
The total magnetization is 0.0 Bohr magnetons per cell. The calculation puts the uncorrected formation energy at -0.629 eV per atom.

***

(2)
A relaxed structure of LiPmGdHo. Source: Alexandria via LeMat-Bulk, functional PBE.

Cell and atoms, written as extended XYZ:
```
16
Lattice="7.814 0.000 0.000 0.000 7.814 0.000 0.000 0.000 7.814" Properties=species:S:1:pos:R:3 pbc="T T T"
Li 0.000 0.000 0.000
Li 0.000 3.907 3.907
Li 3.907 0.000 3.907
Li 3.907 3.907 0.000
Pm 1.954 1.954 1.954
Pm 1.954 5.861 5.861
Pm 5.861 1.954 5.861
Pm 5.861 5.861 1.954
Gd 0.000 0.000 3.907
Gd 0.000 3.907 0.000
Gd 3.907 0.000 0.000
Gd 3.907 3.907 3.907
Ho 1.954 1.954 5.861
Ho 1.954 5.861 1.954
Ho 5.861 1.954 1.954
Ho 5.861 5.861 5.861
```

Calculated values
The total magnetization is 28.9 Bohr magnetons per cell. The value obtained for the energy of formation is 0.184 eV per atom.

***

(3)
A relaxed structure of Ac3TbMn2N6. Source: Alexandria via LeMat-Bulk, functional PBE.

Cell and atoms, written as extended XYZ:
```
12
Lattice="5.974 0.000 0.000 -2.987 5.174 0.000 0.000 0.000 6.933" Properties=species:S:1:pos:R:3 pbc="T T T"
Ac 0.000 0.000 0.000
Ac 0.000 3.449 4.645
Ac 2.987 1.725 2.288
Tb 0.000 0.000 3.467
Mn 0.000 3.449 1.436
Mn 2.987 1.725 5.497
N 0.000 1.801 2.006
N -1.427 4.273 2.006
N 1.560 0.901 4.927
N 1.427 4.273 2.006
N 4.414 0.901 4.927
N 2.987 3.372 4.927
```

Calculated values
The total magnetization is 4.0 Bohr magnetons per cell. The calculation puts the uncorrected formation energy at -0.905 eV per atom.

***

(4)
A relaxed structure of Tb6Ho2Er3Sc. Source: Alexandria via LeMat-Bulk, functional PBE.

Cell and atoms, written as extended XYZ:
```
12
Lattice="3.048 -5.276 0.000 3.048 5.276 0.000 -2.024 0.000 11.449" Properties=species:S:1:pos:R:3 pbc="T T T"
Tb 1.009 1.746 2.840
Tb -0.005 0.000 8.606
Tb 1.009 -1.746 2.840
Tb 3.064 1.746 8.609
Tb 4.078 0.000 2.843
Tb 3.064 -1.746 8.609
Ho 3.048 1.757 0.000
Ho 3.048 -1.757 0.000
Er 2.037 3.519 5.724
Er 2.037 0.000 5.724
Er 2.037 -3.519 5.724
Sc 0.000 0.000 0.000
```

Calculated values
The total magnetization is 0.0 Bohr magnetons per cell. The value obtained for the energy of formation is 0.026 eV per atom.

***

| no. | Fermi-level density of states (states/eV per cell) |
| --- | --- |
| 1 | 5.8 |
| 2 | 19.8 |
| 3 | 1.9 |
| 4 | 16.1 |